{
  "formula": "Ti3Pd4Au",
  "functional": "PBE",
  "state": "relaxed",
  "lattice_angstrom": [[4.8415, 0.0000, 0.0000], [0.0000, 5.6556, 0.0000], [0.0000, 0.0000, 9.2342]],
  "species": ["Au", "Au", "Pd", "Pd", "Pd", "Pd", "Pd", "Pd", "Pd", "Pd", "Ti", "Ti", "Ti", "Ti", "Ti", "Ti"],
  "fractional_positions": [[0.0000, 0.5000, 0.0000], [0.0000, 0.5000, 0.5000], [0.5000, 0.7542, 0.0000], [0.5000, 0.7542, 0.5000], [0.5000, 0.2458, 0.0000], [0.5000, 0.2458, 0.5000], [0.1395, 0.7549, 0.7500], [0.8605, 0.7549, 0.2500], [0.8605, 0.2451, 0.2500], [0.1395, 0.2451, 0.7500], [0.0000, 0.0000, 0.0000], [0.0000, 0.0000, 0.5000], [0.6186, 0.0000, 0.7500], [0.3814, 0.0000, 0.2500], [0.6501, 0.5000, 0.7500], [0.3499, 0.5000, 0.2500]],
  "total_energy_ev_per_atom": -6.485,
  "spacegroup": "Pmma",
  "mass_density_g_cm3": 10.1,
  "dos_at_fermi_per_ev_cell": 13.9,
  "total_magnetization_mub_per_fu": 1.156,
  "formation_enthalpy_0k_ev_per_atom": -0.5179
}


{
  "formula": "PtSe2IN",
  "functional": "PBE",
  "state": "relaxed",
  "lattice_angstrom": [[-1.5635, 1.4897, 4.9681], [4.2188, -2.6533, 2.1233], [2.1381, 3.1760, -0.2795]],
  "species": ["I", "Se", "Se", "Pt", "N"],
  "fractional_positions": [[0.0000, 0.0000, 0.0000], [0.0000, 0.5000, 0.0000], [0.5000, 0.0000, 0.0000], [0.5000, 0.5000, 0.5000], [0.0000, 0.0000, 0.5000]],
  "total_energy_ev_per_atom": -2.909,
  "formation_energy_uncorrected_kj_per_mol_fu": 805,
  "relative_energy_ev_per_atom": 0.9991,
  "spacegroup": "P4/mmm",
  "mass_density_g_cm3": 7.3,
  "dos_at_fermi_per_ev_cell": 5.5,
  "total_magnetization_mub_per_fu": 0.000
}


{
  "formula": "CsNa5W2N6",
  "functional": "PBE",
  "state": "relaxed",
  "lattice_angstrom": [[-3.9344, -9.5682, -0.0051], [6.4075, -2.6312, -6.4673], [12.4464, -5.1255, 14.3582]],
  "species": ["Cs", "Cs", "Cs", "Cs", "Cs", "Cs", "Cs", "Cs", "Na", "Na", "Na", "Na", "Na", "Na", "Na", "Na", "Na", "Na", "Na", "Na", "Na", "Na", "Na", "Na", "Na", "Na", "Na", "Na", "Na", "Na", "Na", "Na", "Na", "Na", "Na", "Na", "Na", "Na", "Na", "Na", "Na", "Na", "Na", "Na", "Na", "Na", "Na", "Na", "W", "W", "W", "W", "W", "W", "W", "W", "W", "W", "W", "W", "W", "W", "W", "W", "N", "N", "N", "N", "N", "N", "N", "N", "N", "N", "N", "N", "N", "N", "N", "N", "N", "N", "N", "N", "N", "N", "N", "N", "N", "N", "N", "N", "N", "N", "N", "N", "N", "N", "N", "N", "N", "N", "N", "N", "N", "N", "N", "N", "N", "N", "N", "N"],
  "fractional_positions": [[0.2385, 0.8726, 0.0410], [0.2687, 0.3829, 0.0819], [0.7313, 0.6171, 0.9181], [0.7385, 0.1274, 0.4590], [0.7615, 0.1274, 0.9590], [0.2313, 0.3829, 0.5819], [0.2615, 0.8726, 0.5410], [0.7687, 0.6171, 0.4181], [0.9964, 0.6224, 0.5647], [0.5053, 0.6191, 0.5631], [0.0071, 0.8743, 0.6802], [0.4934, 0.9015, 0.6808], [0.5112, 0.6287, 0.7904], [0.5190, 0.8728, 0.9480], [0.5117, 0.3639, 0.6721], [0.4810, 0.1272, 0.0520], [0.9883, 0.3639, 0.1721], [0.0036, 0.3776, 0.4353], [0.0117, 0.6361, 0.8279], [0.5071, 0.1257, 0.8198], [0.8356, 0.1216, 0.6606], [0.4883, 0.6361, 0.3279], [0.5066, 0.0985, 0.3192], [0.8368, 0.6195, 0.7142], [0.0066, 0.9015, 0.1808], [0.4947, 0.3809, 0.4369], [0.6632, 0.6195, 0.2142], [0.6644, 0.1216, 0.1606], [0.9810, 0.8728, 0.4480], [0.4929, 0.8743, 0.1802], [0.9888, 0.6287, 0.2904], [0.5099, 0.8681, 0.4411], [0.3356, 0.8784, 0.8394], [0.9947, 0.6191, 0.0631], [0.5036, 0.6224, 0.0647], [0.4901, 0.1319, 0.5589], [0.0112, 0.3713, 0.7096], [0.0053, 0.3809, 0.9369], [0.9934, 0.0985, 0.8192], [0.4888, 0.3713, 0.2096], [0.1644, 0.8784, 0.3394], [0.4964, 0.3776, 0.9353], [0.1632, 0.3805, 0.2858], [0.9929, 0.1257, 0.3198], [0.9901, 0.8681, 0.9411], [0.0099, 0.1319, 0.0589], [0.3368, 0.3805, 0.7858], [0.0190, 0.1272, 0.5520], [0.2622, 0.0783, 0.2134], [0.7567, 0.8271, 0.0959], [0.2567, 0.1729, 0.4041], [0.7551, 0.4223, 0.5886], [0.7405, 0.3265, 0.7804], [0.7433, 0.8271, 0.5959], [0.2433, 0.1729, 0.9041], [0.7622, 0.9217, 0.2866], [0.7378, 0.9217, 0.7866], [0.2449, 0.5777, 0.4114], [0.7595, 0.3265, 0.2804], [0.2595, 0.6735, 0.2196], [0.2405, 0.6735, 0.7196], [0.2378, 0.0783, 0.7134], [0.2551, 0.5777, 0.9114], [0.7449, 0.4223, 0.0886], [0.3969, 0.6379, 0.4501], [0.7509, 0.8666, 0.6923], [0.1031, 0.6379, 0.9501], [0.3721, 0.1597, 0.6669], [0.6256, 0.4182, 0.3229], [0.9214, 0.8692, 0.3218], [0.3824, 0.0811, 0.9422], [0.2610, 0.3743, 0.9149], [0.7441, 0.1244, 0.2910], [0.1279, 0.1597, 0.1669], [0.5786, 0.8692, 0.8218], [0.2441, 0.8756, 0.2090], [0.3948, 0.6527, 0.9563], [0.2390, 0.3743, 0.4149], [0.8969, 0.3621, 0.0499], [0.8721, 0.8403, 0.8331], [0.7559, 0.1244, 0.7910], [0.0802, 0.6156, 0.6873], [0.5802, 0.3844, 0.8127], [0.7491, 0.8666, 0.1923], [0.2491, 0.1334, 0.3077], [0.7610, 0.6257, 0.5851], [0.8824, 0.9189, 0.5578], [0.7408, 0.3673, 0.1843], [0.0786, 0.1308, 0.6782], [0.8744, 0.4182, 0.8229], [0.2592, 0.6327, 0.8157], [0.1176, 0.0811, 0.4422], [0.9113, 0.8892, 0.0605], [0.1256, 0.5818, 0.1771], [0.7390, 0.6257, 0.0851], [0.6052, 0.3473, 0.0437], [0.2509, 0.1334, 0.8077], [0.2408, 0.6327, 0.3157], [0.7592, 0.3673, 0.6843], [0.4113, 0.1108, 0.4395], [0.6176, 0.9189, 0.0578], [0.8948, 0.3473, 0.5437], [0.2559, 0.8756, 0.7090], [0.4198, 0.6156, 0.1873], [0.0887, 0.1108, 0.9395], [0.1052, 0.6527, 0.4563], [0.6279, 0.8403, 0.3331], [0.6031, 0.3621, 0.5499], [0.4214, 0.1308, 0.1782], [0.5887, 0.8892, 0.5605], [0.3744, 0.5818, 0.6771], [0.9198, 0.3844, 0.3127]],
  "total_energy_ev_per_atom": -6.409,
  "formation_energy_uncorrected_kj_per_mol_fu": -619,
  "spacegroup": "P2_1/c",
  "mass_density_g_cm3": 4.8,
  "dos_at_fermi_per_ev_cell": 0.0,
  "total_magnetization_mub_per_fu": 0.000
}